[1]
{
  "formula": "Ce3Pt2",
  "functional": "SCAN",
  "state": "PBEsol geometry",
  "total_magnetization_mub_per_atom": 0.64,
  "ef_mev_per_atom": -1023,
  "dos_at_fermi_per_ev_fu": 9.69,
  "energy_ev_per_atom": -55.84,
  "lattice": [[7.4346, 0.0404, 0.0319], [2.2865, 7.0743, 0.0319], [2.2865, 1.6734, 6.8736]],
  "species": ["Ce", "Ce", "Ce", "Ce", "Pt", "Pt", "Ce", "Ce", "Pt", "Pt", "Pt", "Ce", "Ce", "Pt", "Ce"],
  "fractional_positions": [[0.2068, 0.2068, 0.2068], [0.8357, 0.6054, 0.3439], [0.1643, 0.3946, 0.6561], [0.3946, 0.6561, 0.1643], [0.9503, 0.1610, 0.5927], [0.0497, 0.8390, 0.4073], [0.6561, 0.1643, 0.3946], [0.7932, 0.7932, 0.7932], [0.8390, 0.4073, 0.0497], [0.1610, 0.5927, 0.9503], [0.5927, 0.9503, 0.1610], [0.3439, 0.8357, 0.6054], [0.6054, 0.3439, 0.8357], [0.4073, 0.0497, 0.8390], [0.0000, 0.0000, 0.0000]]
}



[2]
{
  "formula": "Cr2C",
  "functional": "SCAN",
  "state": "PBEsol geometry",
  "total_magnetization_mub_per_atom": 0.00,
  "ef_mev_per_atom": -20,
  "dos_at_fermi_per_ev_fu": 1.90,
  "energy_ev_per_atom": -15.64,
  "lattice": [[2.7973, 0.0000, 0.0000], [-1.3987, 2.4225, 0.0000], [0.0000, 0.0000, 4.2108]],
  "species": ["C", "Cr", "Cr"],
  "fractional_positions": [[0.0000, 0.0000, 0.0000], [0.3333, 0.6667, 0.2534], [0.6667, 0.3333, 0.7466]]
}